DFT (PBE) results for a geometry-optimized AgH2I2 structure.

Calculated values
SG: No. 127

Cell and atoms, written as POSCAR:
```
AgH2I2
1.0
7.834 0.000 0.000
0.000 7.834 0.000
0.000 0.000 4.009
Ag H I
2 4 4
Direct
0.000 0.000 0.000 Ag
0.500 0.500 0.000 Ag
0.202 0.298 0.000 H
0.298 0.798 0.000 H
0.702 0.202 0.000 H
0.798 0.702 0.000 H
0.204 0.296 0.500 I
0.296 0.796 0.500 I
0.704 0.204 0.500 I
0.796 0.704 0.500 I
```



DFT (PBE) results for a geometry-optimized Ag3HI structure.

Calculated values
SG: No. 221

Cell and atoms, written as POSCAR:
```
Ag3HI
1.0
4.530 0.000 0.000
0.000 4.530 0.000
0.000 0.000 4.530
Ag H I
3 1 1
Direct
0.000 0.000 0.500 Ag
0.000 0.500 0.000 Ag
0.500 0.000 0.000 Ag
0.000 0.000 0.000 H
0.500 0.500 0.500 I
```



DFT (PBE) results for a geometry-optimized AgHI2 structure.

Calculated values
SG: No. 225

Cell and atoms, written as POSCAR:
```
AgHI2
1.0
0.000 3.705 3.705
3.705 0.000 3.705
3.705 3.705 0.000
Ag H I
1 1 2
Direct
0.000 0.000 0.000 Ag
0.500 0.500 0.500 H
0.250 0.250 0.250 I
0.750 0.750 0.750 I
```



DFT (PBE) results for a geometry-optimized AgH2I3 structure.

Calculated values
SG: No. 2

Cell and atoms, written as POSCAR:
```
AgH2I3
1.0
7.512 0.000 0.000
1.798 7.367 0.000
1.567 2.696 7.050
Ag H I
2 4 6
Direct
0.127 0.114 0.012 Ag
0.873 0.886 0.988 Ag
0.251 0.308 0.532 H
0.491 0.160 0.201 H
0.509 0.840 0.799 H
0.749 0.692 0.468 H
0.244 0.428 0.675 I
0.270 0.745 0.973 I
0.276 0.095 0.334 I
0.724 0.905 0.666 I
0.730 0.255 0.027 I
0.756 0.572 0.325 I
```



DFT (PBE) results for a geometry-optimized AgH6I structure.

Calculated values
SG: No. 12

Cell and atoms, written as POSCAR:
```
AgH6I
1.0
3.991 -2.701 0.000
3.991 2.701 0.000
-0.440 0.000 5.072
Ag H I
1 6 1
Direct
0.000 0.000 0.000 Ag
0.207 0.207 0.007 H
0.235 0.763 0.238 H
0.237 0.765 0.762 H
0.763 0.235 0.238 H
0.765 0.237 0.762 H
0.793 0.793 0.993 H
0.500 0.500 0.500 I
```



DFT (PBE) results for a geometry-optimized AgH2I structure.

Calculated values
SG: No. 225

Cell and atoms, written as POSCAR:
```
AgH2I
1.0
0.000 3.074 3.074
3.074 0.000 3.074
3.074 3.074 0.000
Ag H I
1 2 1
Direct
0.000 0.000 0.000 Ag
0.250 0.250 0.250 H
0.750 0.750 0.750 H
0.500 0.500 0.500 I
```



DFT (PBE) results for a geometry-optimized Ag2H2I3 structure.

Calculated values
SG: No. 2

Cell and atoms, written as POSCAR:
```
Ag2H2I3
1.0
5.281 0.000 0.000
0.013 6.783 0.000
0.010 3.028 6.176
Ag H I
2 2 3
Direct
0.001 0.274 0.119 Ag
0.999 0.726 0.881 Ag
0.005 0.271 0.848 H
0.995 0.729 0.152 H
0.007 0.184 0.631 I
0.500 0.500 0.000 I
0.993 0.816 0.369 I
```



DFT (PBE) results for a geometry-optimized AgH2I2 structure.

Calculated values
SG: No. 139

Cell and atoms, written as POSCAR:
```
AgH2I2
1.0
-2.883 2.883 3.259
2.883 -2.883 3.259
2.883 2.883 -3.259
Ag H I
1 2 2
Direct
0.000 0.000 0.000 Ag
0.442 0.442 0.000 H
0.558 0.558 0.000 H
0.250 0.750 0.500 I
0.750 0.250 0.500 I
```



DFT (PBE) results for a geometry-optimized AgH2I structure.

Calculated values
SG: No. 5

Cell and atoms, written as POSCAR:
```
AgH2I
1.0
1.679 -7.214 0.000
1.679 7.214 0.000
-0.007 0.000 3.459
Ag H I
1 2 1
Direct
0.000 0.000 0.000 Ag
0.007 0.993 0.500 H
0.518 0.482 0.000 H
0.760 0.240 0.500 I
```



DFT (PBE) results for a geometry-optimized AgHI2 structure.

Calculated values
SG: No. 122

Cell and atoms, written as POSCAR:
```
AgHI2
1.0
-3.072 3.072 5.769
3.072 -3.072 5.769
3.072 3.072 -5.769
Ag H I
2 2 4
Direct
0.000 0.000 0.000 Ag
0.750 0.250 0.500 Ag
0.250 0.750 0.500 H
0.500 0.500 0.000 H
0.186 0.625 0.061 I
0.375 0.436 0.561 I
0.564 0.125 0.939 I
0.875 0.814 0.439 I
```



DFT (PBE) results for a geometry-optimized AgH2I2 structure.

Calculated values
SG: No. 139

Cell and atoms, written as POSCAR:
```
AgH2I2
1.0
-1.921 1.921 6.469
1.921 -1.921 6.469
1.921 1.921 -6.469
Ag H I
1 2 2
Direct
0.000 0.000 0.000 Ag
0.250 0.750 0.500 H
0.750 0.250 0.500 H
0.354 0.354 0.000 I
0.646 0.646 0.000 I
```



DFT (PBE) results for a geometry-optimized Ag2HI structure.

Calculated values
SG: No. 225

Cell and atoms, written as POSCAR:
```
Ag2HI
1.0
0.000 3.440 3.440
3.440 0.000 3.440
3.440 3.440 0.000
Ag H I
2 1 1
Direct
0.250 0.250 0.250 Ag
0.750 0.750 0.750 Ag
0.000 0.000 0.000 H
0.500 0.500 0.500 I
```



Number 1: final energy -2.08 eV/atom. Number 2: final energy -2.35 eV/atom. Number 3: final energy -1.67 eV/atom. Number 4: final energy -2.42 eV/atom. Number 5: final energy -2.44 eV/atom. Number 6: final energy -1.79 eV/atom. Number 7: final energy -2.32 eV/atom. Number 8: final energy -2.45 eV/atom. Number 9: final energy -2.39 eV/atom. Number 10: final energy -2.15 eV/atom. Number 11: final energy -1.91 eV/atom. Number 12: final energy -2.05 eV/atom.